Material: NiAsNF2
Method: DFT, PBE with a Hubbard U
State: relaxed

Values from the calculation:
M_tot (μB/atom): 0.342
Density of states at the Fermi level (states/eV per atom): 0.17
Density (g cm⁻³): 5.13
Energy relative to the lowest polymorph listed for this composition (meV/atom): 0

```
data_NiAsNF2
_chemical_formula_sum 'Ni1 As1 N1 F2'
_cell_length_a 3.761
_cell_length_b 3.761
_cell_length_c 4.251
_cell_angle_alpha 90.00
_cell_angle_beta 90.00
_cell_angle_gamma 90.00
_symmetry_space_group_name_H-M 'P 4/m m m'
_symmetry_Int_Tables_number 123
_symmetry_space_group_name_Hall '-P 4 2'
loop_
_atom_site_label
_atom_site_type_symbol
_atom_site_fract_x
_atom_site_fract_y
_atom_site_fract_z
Ni1 Ni 0.000 0.000 0.000
As1 As 0.500 0.500 0.500
N1 N 0.000 0.000 0.500
F1 F 0.000 0.500 0.000
```